SmYCu2Sn2: optimized geometry, GGA-PBE.

Unit cell a=4.565 b=4.565 c=7.347 alpha=90.00 beta=90.00 gamma=120.00
Fractional positions:
Sm: 0.000 0.000 0.236
Y: 0.000 0.000 0.736
Cu: 0.667 0.333 0.552
Cu: 0.333 0.667 0.043
Sn: 0.667 0.333 0.962
Sn: 0.333 0.667 0.470

Properties
**Electronic total energy**: -30.28 eV per cell
**Space group**: P3m1, No. 156
**Total moment**: 0.004 Bohr magnetons per cell

SmZrCu2Sn2: optimized geometry, GGA-PBE.

Unit cell a=4.503 b=4.503 c=7.144 alpha=90.00 beta=90.00 gamma=120.00
Fractional positions:
Sn: 0.667 0.333 0.011
Sm: 0.000 0.000 0.749
Zr: 0.000 0.000 0.249
Sn: 0.333 0.667 0.487
Cu: 0.667 0.333 0.423
Cu: 0.333 0.667 0.081

Properties
**Electronic total energy**: -31.67 eV per cell
**Space group**: P3m1, No. 156
**Total moment**: 0.001 Bohr magnetons per cell

SrSmCu: optimized geometry, GGA-PBE.

Unit cell a=5.034 b=5.034 c=5.034 alpha=60.00 beta=60.00 gamma=60.00
Fractional positions:
Cu: 0.250 0.250 0.250
Sr: 0.750 0.750 0.750
Sm: 0.000 0.000 0.000

Properties
**Electronic total energy**: -7.96 eV per cell
**Space group**: F-43m, No. 216
**Total moment**: 0.002 Bohr magnetons per cell

SmTaCu: optimized geometry, GGA-PBE.

Unit cell a=4.675 b=4.675 c=4.675 alpha=60.00 beta=60.00 gamma=60.00
Fractional positions:
Sm: 0.000 0.000 0.000
Ta: 0.750 0.750 0.750
Cu: 0.250 0.250 0.250

Properties
**Space group**: F-43m, No. 216
**Energy relative to the elements**: 1.51 eV/atom
**Total moment**: 1.673 Bohr magnetons per cell

TbSmCu: optimized geometry, GGA-PBE.

Unit cell a=4.812 b=4.812 c=4.812 alpha=60.00 beta=60.00 gamma=60.00
Fractional positions:
Tb: 0.750 0.750 0.750
Sm: 0.000 0.000 0.000
Cu: 0.250 0.250 0.250

Properties
**Space group**: F-43m, No. 216
**Energy relative to the elements**: 0.67 eV/atom
**Total moment**: 0.001 Bohr magnetons per cell

TbSmCuTe3: optimized geometry, GGA-PBE.

Unit cell a=7.457 b=7.457 c=11.209 alpha=90.00 beta=90.00 gamma=147.45
Fractional positions:
Te: 0.649 0.351 0.067
Sm: 0.231 0.769 0.250
Cu: 0.531 0.469 0.250
Cu: 0.469 0.531 0.750
Sm: 0.769 0.231 0.750
Te: 0.092 0.908 0.750
Te: 0.351 0.649 0.567
Te: 0.351 0.649 0.933
Te: 0.908 0.092 0.250
Te: 0.649 0.351 0.433
Tb: 0.000 0.000 0.500
Tb: 0.000 0.000 0.000

Properties
**Electronic total energy**: -57.53 eV per cell
**Space group**: Cmcm, No. 63
**Total moment**: 0.017 Bohr magnetons per cell